(1)
A plane-wave DFT calculation with GGA-PBE was carried out for a relaxed Ni4Sb crystal.

Calculated values
Energy above the most stable polymorph in this dataset (eV/f.u.): 2.31
ΔE_f (raw) (eV per atom): 0.415

Cell and atoms, written as CIF:
```
data_Ni4Sb
_symmetry_space_group_name_H-M 'P 1'
_symmetry_Int_Tables_number 1
_symmetry_space_group_name_Hall 'P 1'
_cell_length_a 4.408
_cell_length_b 8.451
_cell_length_c 8.451
_cell_angle_alpha 90.00
_cell_angle_beta 90.00
_cell_angle_gamma 90.00
loop_
_atom_site_label
_atom_site_type_symbol
_atom_site_fract_x
_atom_site_fract_y
_atom_site_fract_z
Ni1 Ni 0.500 0.895 0.605
Ni2 Ni 0.500 0.605 0.105
Ni3 Ni 0.500 0.395 0.895
Ni4 Ni 0.500 0.105 0.395
Ni5 Ni 0.500 0.204 0.106
Ni6 Ni 0.500 0.106 0.796
Ni7 Ni 0.500 0.894 0.204
Ni8 Ni 0.500 0.796 0.894
Ni9 Ni 0.500 0.296 0.606
Ni10 Ni 0.500 0.704 0.394
Ni11 Ni 0.500 0.606 0.704
Ni12 Ni 0.500 0.394 0.296
Ni13 Ni 0.233 0.000 0.000
Ni14 Ni 0.767 0.500 0.500
Ni15 Ni 0.767 0.000 0.000
Ni16 Ni 0.233 0.500 0.500
Sb1 Sb 0.000 0.132 0.632
Sb2 Sb 0.000 0.632 0.868
Sb3 Sb 0.000 0.368 0.132
Sb4 Sb 0.000 0.868 0.368
```

(2)
A plane-wave DFT calculation with GGA-PBE was carried out for a relaxed SbAsIr2 crystal.

Calculated values
Energy above the most stable polymorph in this dataset (eV/f.u.): 2.66
ΔE_f (raw) (eV per atom): 0.506

Cell and atoms, written as CIF:
```
data_SbAsIr2
_symmetry_space_group_name_H-M 'P 1'
_symmetry_Int_Tables_number 1
_symmetry_space_group_name_Hall 'P 1'
_cell_length_a 2.996
_cell_length_b 2.996
_cell_length_c 9.091
_cell_angle_alpha 90.00
_cell_angle_beta 90.00
_cell_angle_gamma 120.31
loop_
_atom_site_label
_atom_site_type_symbol
_atom_site_fract_x
_atom_site_fract_y
_atom_site_fract_z
Sb1 Sb 0.500 0.500 0.250
As1 As 0.500 0.500 0.750
Ir1 Ir 0.000 0.000 0.978
Ir2 Ir 0.000 0.000 0.522
```

(3)
A plane-wave DFT calculation with GGA-PBE was carried out for a relaxed FeAs crystal.

Calculated values
ΔE_f (meV per atom): 137

Cell and atoms, written as CIF:
```
data_FeAs
_symmetry_space_group_name_H-M 'P 1'
_symmetry_Int_Tables_number 1
_symmetry_space_group_name_Hall 'P 1'
_cell_length_a 9.543
_cell_length_b 9.543
_cell_length_c 9.543
_cell_angle_alpha 17.36
_cell_angle_beta 17.36
_cell_angle_gamma 17.36
loop_
_atom_site_label
_atom_site_type_symbol
_atom_site_fract_x
_atom_site_fract_y
_atom_site_fract_z
As1 As 0.972 0.972 0.972
As2 As 0.778 0.778 0.778
Fe1 Fe 0.509 0.509 0.509
Fe2 Fe 0.241 0.241 0.241
```

(4)
A plane-wave DFT calculation with GGA-PBE was carried out for a relaxed AlW3I crystal.

Calculated values
Energy above the most stable polymorph in this dataset (eV/f.u.): 0.00
ΔE_f (raw) (eV per atom): 2.225

Cell and atoms, written as CIF:
```
data_AlW3I
_symmetry_space_group_name_H-M 'P 1'
_symmetry_Int_Tables_number 1
_symmetry_space_group_name_Hall 'P 1'
_cell_length_a 4.675
_cell_length_b 4.675
_cell_length_c 4.675
_cell_angle_alpha 90.00
_cell_angle_beta 90.00
_cell_angle_gamma 90.00
loop_
_atom_site_label
_atom_site_type_symbol
_atom_site_fract_x
_atom_site_fract_y
_atom_site_fract_z
I1 I 0.500 0.500 0.500
Al1 Al 0.000 0.000 0.000
W1 W 0.000 0.500 0.000
W2 W 0.000 0.000 0.500
W3 W 0.500 0.000 0.000
```

(5)
A plane-wave DFT calculation with GGA-PBE was carried out for a relaxed K2NiW crystal.

Calculated values
ΔE_f (meV per atom): 867
Energy above the most stable polymorph in this dataset (eV/f.u.): 0.11

Cell and atoms, written as CIF:
```
data_K2NiW
_symmetry_space_group_name_H-M 'P 1'
_symmetry_Int_Tables_number 1
_symmetry_space_group_name_Hall 'P 1'
_cell_length_a 10.532
_cell_length_b 10.532
_cell_length_c 10.532
_cell_angle_alpha 164.65
_cell_angle_beta 157.16
_cell_angle_gamma 27.64
loop_
_atom_site_label
_atom_site_type_symbol
_atom_site_fract_x
_atom_site_fract_y
_atom_site_fract_z
K1 K 0.107 0.107 0.000
K2 K 0.393 0.393 0.000
Ni1 Ni 0.250 0.750 0.500
W1 W 0.750 0.250 0.500
```

(6)
A plane-wave DFT calculation with GGA-PBE was carried out for a relaxed CrN crystal.

Calculated values
ΔE_f (raw) (eV per atom): -0.240

Cell and atoms, written as CIF:
```
data_CrN
_symmetry_space_group_name_H-M 'P 1'
_symmetry_Int_Tables_number 1
_symmetry_space_group_name_Hall 'P 1'
_cell_length_a 5.929
_cell_length_b 5.929
_cell_length_c 5.929
_cell_angle_alpha 90.00
_cell_angle_beta 90.00
_cell_angle_gamma 90.00
loop_
_atom_site_label
_atom_site_type_symbol
_atom_site_fract_x
_atom_site_fract_y
_atom_site_fract_z
Cr1 Cr 0.351 0.351 0.351
Cr2 Cr 0.351 0.649 0.649
Cr3 Cr 0.649 0.351 0.649
Cr4 Cr 0.649 0.649 0.351
Cr5 Cr 0.851 0.851 0.851
Cr6 Cr 0.851 0.149 0.149
Cr7 Cr 0.149 0.851 0.149
Cr8 Cr 0.149 0.149 0.851
N1 N 0.170 0.170 0.170
N2 N 0.170 0.830 0.830
N3 N 0.830 0.170 0.830
N4 N 0.830 0.830 0.170
N5 N 0.670 0.670 0.670
N6 N 0.670 0.330 0.330
N7 N 0.330 0.670 0.330
N8 N 0.330 0.330 0.670
```

(7)
A plane-wave DFT calculation with GGA-PBE was carried out for a relaxed CdHg2Br crystal.

Calculated values
Energy above the most stable polymorph in this dataset (eV/f.u.): 0.27
ΔE_f (raw) (eV per atom): -0.128

Cell and atoms, written as CIF:
```
data_CdHg2Br
_symmetry_space_group_name_H-M 'P 1'
_symmetry_Int_Tables_number 1
_symmetry_space_group_name_Hall 'P 1'
_cell_length_a 6.216
_cell_length_b 4.323
_cell_length_c 4.323
_cell_angle_alpha 90.00
_cell_angle_beta 90.00
_cell_angle_gamma 90.00
loop_
_atom_site_label
_atom_site_type_symbol
_atom_site_fract_x
_atom_site_fract_y
_atom_site_fract_z
Hg1 Hg 0.000 0.000 0.000
Hg2 Hg 0.000 0.500 0.500
Br1 Br 0.500 0.500 0.000
Cd1 Cd 0.500 0.000 0.500
```

(8)
A plane-wave DFT calculation with GGA-PBE was carried out for a relaxed Nd3AlCu2Pd9 crystal.

Calculated values
ΔE_f (meV per atom): -355

Cell and atoms, written as CIF:
```
data_Nd3AlCu2Pd9
_symmetry_space_group_name_H-M 'P 1'
_symmetry_Int_Tables_number 1
_symmetry_space_group_name_Hall 'P 1'
_cell_length_a 7.404
_cell_length_b 7.404
_cell_length_c 6.451
_cell_angle_alpha 90.00
_cell_angle_beta 90.00
_cell_angle_gamma 120.00
loop_
_atom_site_label
_atom_site_type_symbol
_atom_site_fract_x
_atom_site_fract_y
_atom_site_fract_z
Nd1 Nd 0.333 0.667 0.672
Nd2 Nd 0.000 0.000 0.000
Nd3 Nd 0.667 0.333 0.328
Al1 Al 0.000 0.000 0.500
Cu1 Cu 0.333 0.667 0.172
Cu2 Cu 0.667 0.333 0.828
Pd1 Pd 0.837 0.163 0.670
Pd2 Pd 0.837 0.674 0.670
Pd3 Pd 0.326 0.163 0.670
Pd4 Pd 0.674 0.837 0.330
Pd5 Pd 0.163 0.326 0.330
Pd6 Pd 0.163 0.837 0.330
Pd7 Pd 0.500 0.000 0.000
Pd8 Pd 0.000 0.500 0.000
Pd9 Pd 0.500 0.500 0.000
```

(9)
A plane-wave DFT calculation with GGA-PBE was carried out for a relaxed Cu2AgAu5 crystal.

Calculated values
ΔE_f (meV per atom): 53
Energy above the most stable polymorph in this dataset (eV/f.u.): 0.11

Cell and atoms, written as CIF:
```
data_Cu2AgAu5
_symmetry_space_group_name_H-M 'P 1'
_symmetry_Int_Tables_number 1
_symmetry_space_group_name_Hall 'P 1'
_cell_length_a 3.933
_cell_length_b 6.055
_cell_length_c 12.750
_cell_angle_alpha 90.00
_cell_angle_beta 90.00
_cell_angle_gamma 108.95
loop_
_atom_site_label
_atom_site_type_symbol
_atom_site_fract_x
_atom_site_fract_y
_atom_site_fract_z
Cu1 Cu 0.750 0.500 0.419
Cu2 Cu 0.750 0.500 0.081
Cu3 Cu 0.250 0.500 0.581
Cu4 Cu 0.250 0.500 0.919
Ag1 Ag 0.763 0.525 0.750
Ag2 Ag 0.237 0.475 0.250
Au1 Au 0.908 0.816 0.920
Au2 Au 0.908 0.816 0.580
Au3 Au 0.408 0.816 0.413
Au4 Au 0.408 0.816 0.087
Au5 Au 0.927 0.853 0.250
Au6 Au 0.073 0.147 0.750
Au7 Au 0.592 0.184 0.587
Au8 Au 0.592 0.184 0.913
Au9 Au 0.092 0.184 0.080
Au10 Au 0.092 0.184 0.420
```

(10)
A plane-wave DFT calculation with GGA-PBE was carried out for a relaxed BaAl5Pd3 crystal.

Calculated values
ΔE_f (meV per atom): -677

Cell and atoms, written as CIF:
```
data_BaAl5Pd3
_symmetry_space_group_name_H-M 'P 1'
_symmetry_Int_Tables_number 1
_symmetry_space_group_name_Hall 'P 1'
_cell_length_a 4.211
_cell_length_b 6.862
_cell_length_c 12.949
_cell_angle_alpha 90.00
_cell_angle_beta 90.00
_cell_angle_gamma 107.87
loop_
_atom_site_label
_atom_site_type_symbol
_atom_site_fract_x
_atom_site_fract_y
_atom_site_fract_z
Ba1 Ba 0.835 0.669 0.750
Ba2 Ba 0.165 0.331 0.250
Al1 Al 0.801 0.601 0.440
Al2 Al 0.199 0.399 0.940
Al3 Al 0.000 0.000 0.500
Al4 Al 0.000 0.000 0.000
Al5 Al 0.443 0.886 0.149
Al6 Al 0.557 0.114 0.851
Al7 Al 0.557 0.114 0.649
Al8 Al 0.801 0.601 0.060
Al9 Al 0.199 0.399 0.560
Al10 Al 0.443 0.886 0.351
Pd1 Pd 0.391 0.781 0.964
Pd2 Pd 0.883 0.765 0.250
Pd3 Pd 0.391 0.781 0.536
Pd4 Pd 0.609 0.219 0.464
Pd5 Pd 0.117 0.235 0.750
Pd6 Pd 0.609 0.219 0.036
```

(11)
A plane-wave DFT calculation with GGA-PBE was carried out for a relaxed Hf3Ga crystal.

Calculated values
ΔE_f (meV per atom): 64

Cell and atoms, written as CIF:
```
data_Hf3Ga
_symmetry_space_group_name_H-M 'P 1'
_symmetry_Int_Tables_number 1
_symmetry_space_group_name_Hall 'P 1'
_cell_length_a 3.091
_cell_length_b 3.007
_cell_length_c 9.356
_cell_angle_alpha 90.00
_cell_angle_beta 90.00
_cell_angle_gamma 90.00
loop_
_atom_site_label
_atom_site_type_symbol
_atom_site_fract_x
_atom_site_fract_y
_atom_site_fract_z
Hf1 Hf 0.000 0.500 0.475
Hf2 Hf 0.500 0.500 0.177
Hf3 Hf 0.500 0.000 0.710
Ga1 Ga 0.000 0.000 0.972
```